# KCa2TiV | Alexandria | GGA-PBE | optimized geometry
# Space group: P4/mmm, No. 123
# DFT formation energy: 1.6475 eV per atom
data_KCa2TiV
_symmetry_space_group_name_H-M 'P 1'
_symmetry_Int_Tables_number 1
_symmetry_space_group_name_Hall 'P 1'
_cell_length_a 5.5186
_cell_length_b 5.5186
_cell_length_c 5.7036
_cell_angle_alpha 90.00
_cell_angle_beta 90.00
_cell_angle_gamma 90.00
loop_
_atom_site_label
_atom_site_fract_x
_atom_site_fract_y
_atom_site_fract_z
K1 0.0000 0.0000 0.0000
Ca1 0.0000 0.5000 0.5000
Ca2 0.5000 0.0000 0.5000
Ti1 0.5000 0.5000 0.0000
V1 0.0000 0.0000 0.5000

# K2CaTl | Alexandria | GGA-PBE | optimized geometry
# Space group: Immm, No. 71
# DFT formation energy: -0.0539 eV per atom
# Distance to the lowest polymorph of the same formula: 0.035 eV/atom
data_K2CaTl
_symmetry_space_group_name_H-M 'P 1'
_symmetry_Int_Tables_number 1
_symmetry_space_group_name_Hall 'P 1'
_cell_length_a 10.4073
_cell_length_b 10.4073
_cell_length_c 10.4073
_cell_angle_alpha 157.13
_cell_angle_beta 151.89
_cell_angle_gamma 36.54
loop_
_atom_site_label
_atom_site_fract_x
_atom_site_fract_y
_atom_site_fract_z
K1 0.1599 0.1599 0.0000
K2 0.8401 0.8401 0.0000
Ca1 0.5000 0.0000 0.5000
Tl1 0.0000 0.5000 0.5000

# KCaTl | Alexandria | GGA-PBE | optimized geometry
# Space group: P3m1, No. 156
# DFT formation energy: -0.0315 eV per atom
# Distance to the lowest polymorph of the same formula: 0.103 eV/atom
data_KCaTl
_symmetry_space_group_name_H-M 'P 1'
_symmetry_Int_Tables_number 1
_symmetry_space_group_name_Hall 'P 1'
_cell_length_a 4.0855
_cell_length_b 4.0855
_cell_length_c 8.8676
_cell_angle_alpha 90.00
_cell_angle_beta 90.00
_cell_angle_gamma 120.00
loop_
_atom_site_label
_atom_site_fract_x
_atom_site_fract_y
_atom_site_fract_z
K1 0.0000 0.0000 0.0000
Ca1 0.3333 0.6667 0.5761
Tl1 0.6667 0.3333 0.3158

# KCa2Tl | Alexandria | GGA-PBE | optimized geometry
# Space group: C2/m, No. 12
# DFT formation energy: 0.0552 eV per atom
data_KCa2Tl
_symmetry_space_group_name_H-M 'P 1'
_symmetry_Int_Tables_number 1
_symmetry_space_group_name_Hall 'P 1'
_cell_length_a 6.9775
_cell_length_b 6.9775
_cell_length_c 3.8901
_cell_angle_alpha 102.68
_cell_angle_beta 102.68
_cell_angle_gamma 115.22
loop_
_atom_site_label
_atom_site_fract_x
_atom_site_fract_y
_atom_site_fract_z
K1 0.0000 0.0000 0.0000
Ca1 0.0000 0.5000 0.5000
Ca2 0.5000 0.0000 0.5000
Tl1 0.5000 0.5000 0.0000

# K2CaTl | Alexandria | GGA-PBE | optimized geometry
# Space group: I4/mmm, No. 139
# DFT formation energy: 0.0423 eV per atom
# Distance to the lowest polymorph of the same formula: 0.131 eV/atom
data_K2CaTl
_symmetry_space_group_name_H-M 'P 1'
_symmetry_Int_Tables_number 1
_symmetry_space_group_name_Hall 'P 1'
_cell_length_a 7.3980
_cell_length_b 7.3980
_cell_length_c 7.3980
_cell_angle_alpha 139.59
_cell_angle_beta 139.59
_cell_angle_gamma 58.48
loop_
_atom_site_label
_atom_site_fract_x
_atom_site_fract_y
_atom_site_fract_z
K1 0.2500 0.7500 0.5000
K2 0.7500 0.2500 0.5000
Ca1 0.0000 0.0000 0.0000
Tl1 0.5000 0.5000 0.0000

# K2Ca2Tl15 | Alexandria | GGA-PBE | optimized geometry
# Space group: R-3m, No. 166
# DFT formation energy: -0.0822 eV per atom
data_K2Ca2Tl15
_symmetry_space_group_name_H-M 'P 1'
_symmetry_Int_Tables_number 1
_symmetry_space_group_name_Hall 'P 1'
_cell_length_a 8.7183
_cell_length_b 8.7183
_cell_length_c 8.7183
_cell_angle_alpha 79.36
_cell_angle_beta 79.36
_cell_angle_gamma 79.36
loop_
_atom_site_label
_atom_site_fract_x
_atom_site_fract_y
_atom_site_fract_z
K1 0.1518 0.1518 0.1518
K2 0.8482 0.8482 0.8482
Ca1 0.3941 0.3941 0.3941
Ca2 0.6059 0.6059 0.6059
Tl1 0.0000 0.5000 0.5000
Tl2 0.1324 0.1324 0.6401
Tl3 0.1324 0.6401 0.1324
Tl4 0.2127 0.5000 0.7873
Tl5 0.2127 0.7873 0.5000
Tl6 0.3599 0.8676 0.8676
Tl7 0.5000 0.0000 0.5000
Tl8 0.5000 0.2127 0.7873
Tl9 0.5000 0.5000 0.0000
Tl10 0.5000 0.7873 0.2127
Tl11 0.6401 0.1324 0.1324
Tl12 0.7873 0.2127 0.5000
Tl13 0.7873 0.5000 0.2127
Tl14 0.8676 0.3599 0.8676
Tl15 0.8676 0.8676 0.3599

# KCa2Tl | Alexandria | GGA-PBE | optimized geometry
# Space group: C2/m, No. 12
# DFT formation energy: -0.0669 eV per atom
data_KCa2Tl
_symmetry_space_group_name_H-M 'P 1'
_symmetry_Int_Tables_number 1
_symmetry_space_group_name_Hall 'P 1'
_cell_length_a 7.1139
_cell_length_b 7.1139
_cell_length_c 6.4589
_cell_angle_alpha 116.08
_cell_angle_beta 116.08
_cell_angle_gamma 33.93
loop_
_atom_site_label
_atom_site_fract_x
_atom_site_fract_y
_atom_site_fract_z
K1 0.0000 0.0000 0.0000
Ca1 0.2054 0.2054 0.7054
Ca2 0.7946 0.7946 0.2946
Tl1 0.5000 0.5000 0.5000

# K3CaTl8 | Alexandria | GGA-PBE | optimized geometry
# Space group: R3m, No. 160
# DFT formation energy: -0.1130 eV per atom
data_K3CaTl8
_symmetry_space_group_name_H-M 'P 1'
_symmetry_Int_Tables_number 1
_symmetry_space_group_name_Hall 'P 1'
_cell_length_a 11.4180
_cell_length_b 11.4180
_cell_length_c 11.4180
_cell_angle_alpha 33.77
_cell_angle_beta 33.77
_cell_angle_gamma 33.77
loop_
_atom_site_label
_atom_site_fract_x
_atom_site_fract_y
_atom_site_fract_z
K1 0.0000 0.0000 0.0000
K2 0.1239 0.1239 0.1239
K3 0.6259 0.6259 0.6259
Ca1 0.5004 0.5004 0.5004
Tl1 0.0608 0.0608 0.5597
Tl2 0.0608 0.5596 0.0608
Tl3 0.0671 0.5638 0.5638
Tl4 0.3138 0.3138 0.3138
Tl5 0.5597 0.0608 0.0608
Tl6 0.5638 0.0671 0.5638
Tl7 0.5638 0.5638 0.0671
Tl8 0.8120 0.8120 0.8120

Please write out number 3 again, unchanged.
# KCaTl | Alexandria | GGA-PBE | optimized geometry
# Space group: P3m1, No. 156
# DFT formation energy: -0.0315 eV per atom
# Distance to the lowest polymorph of the same formula: 0.103 eV/atom
data_KCaTl
_symmetry_space_group_name_H-M 'P 1'
_symmetry_Int_Tables_number 1
_symmetry_space_group_name_Hall 'P 1'
_cell_length_a 4.0855
_cell_length_b 4.0855
_cell_length_c 8.8676
_cell_angle_alpha 90.00
_cell_angle_beta 90.00
_cell_angle_gamma 120.00
loop_
_atom_site_label
_atom_site_fract_x
_atom_site_fract_y
_atom_site_fract_z
K1 0.0000 0.0000 0.0000
Ca1 0.3333 0.6667 0.5761
Tl1 0.6667 0.3333 0.3158